Entry from Alexandria via LeMat-Bulk: Nd4Ni3Rh after structural relaxation (PBE).

Summary:
Volume (Å³/f.u.): 179
ΔH_f (0 K) (meV/atom): -417

Unit cell a=3.882 b=4.297 c=10.730 alpha=90.00 beta=90.00 gamma=90.00
Element x y z (fractional)
Nd1 0.000 0.000 0.000
Nd2 0.000 0.500 0.275
Nd3 0.500 0.000 0.499
Nd4 0.500 0.500 0.777
Ni1 0.000 0.500 0.558
Ni2 0.500 0.000 0.207
Ni3 0.500 0.500 0.070
Rh1 0.000 0.000 0.719